Record 1
Compound: Cr2BiAu
Source: Alexandria
Functional: GGA-PBE
Structure: relaxed

Summary:
Symmetry ... No. 122
Formation enthalpy at 0 K ... 889 meV/atom

```
Cr2BiAu
1.0
6.266 0.000 0.000
0.000 6.266 0.000
3.133 3.133 6.076
Cr Au Bi
4 2 2
direct
0.608 0.125 0.250
0.142 0.625 0.250
0.375 0.392 0.750
0.875 0.858 0.750
0.500 0.500 0.000
0.250 0.750 0.500
0.000 0.000 0.000
0.750 0.250 0.500
```


Record 2
Compound: CrBiAu2
Source: Alexandria
Functional: GGA-PBE
Structure: relaxed

Summary:
Symmetry ... No. 122
Formation enthalpy at 0 K ... 548 meV/atom

```
CrBiAu2
1.0
-3.330 5.523 -4.374
-4.684 -5.350 -3.189
-5.838 0.527 -1.831
Cr Au Bi
2 4 2
direct
0.500 0.500 0.000
0.250 0.750 0.500
0.589 0.125 0.250
0.161 0.625 0.250
0.375 0.411 0.750
0.875 0.839 0.750
0.000 0.000 0.000
0.750 0.250 0.500
```


Record 3
Compound: CrBi2Au
Source: Alexandria
Functional: GGA-PBE
Structure: relaxed

Summary:
Symmetry ... No. 122
Formation enthalpy at 0 K ... 386 meV/atom

```
CrBi2Au
1.0
4.708 0.000 0.000
0.000 4.708 0.000
2.354 2.354 9.677
Cr Au Bi
2 2 4
direct
0.500 0.500 0.000
0.250 0.750 0.500
0.000 0.000 0.000
0.750 0.250 0.500
0.625 0.125 0.250
0.125 0.625 0.250
0.375 0.375 0.750
0.875 0.875 0.750
```


Record 4
Compound: CrBiAu3
Source: Alexandria
Functional: GGA-PBE
Structure: relaxed

Summary:
Symmetry ... No. 221
Formation enthalpy at 0 K ... 832 meV/atom
Energy relative to the lowest polymorph listed for this composition ... 0 meV per atom

```
CrBiAu3
1.0
4.869 0.000 0.000
0.000 4.869 0.000
0.000 0.000 4.869
Cr Au Bi
1 3 1
direct
0.000 0.000 0.000
0.000 0.500 0.000
0.000 0.000 0.500
0.500 0.000 0.000
0.500 0.500 0.500
```